Record 1
Li5VO3F2: PBEsol geometry, SCAN.

Unit cell a=3.8513 b=5.1988 c=5.9447 alpha=110.79 beta=90.00 gamma=111.74
Each line ends with the local moment (μB).
Element x y z (fractional)
F (0.1871, 0.3742, 0.3283)  0.01
F (0.8508, 0.7017, 0.2071)  0.01
Li (0.6732, 0.3464, 0.8498)  0.00
Li (0.6880, 0.3761, 0.3476)  0.00
Li (0.2878, 0.5757, 0.6926)  0.00
Li (0.3139, 0.6278, 0.1271)  0.00
Li (0.9659, 0.9317, 0.5465)  0.00
O (0.1357, 0.2715, 0.8294)  0.03
O (0.4960, 0.9920, 0.0341)  -0.06
O (0.8230, 0.6461, 0.6884)  0.03
V (0.9959, 0.9918, 0.9939)  1.85

- Relative energy among the computed polymorphs: 0.012 eV/atom
- N(E_F): 2.13 states/eV/cell

---

Record 2
LiV2O5F: PBEsol geometry, SCAN.

Unit cell a=4.8772 b=5.4803 c=13.6042 alpha=90.00 beta=90.00 gamma=90.00
Element x y z (fractional)
Li (0.5000, 0.8956, 0.0000)
Li (0.0000, 0.5774, 0.0000)
Li (0.0000, 0.1044, 0.5000)
Li (0.5000, 0.4226, 0.5000)
V (0.4772, 0.3932, 0.1708)
V (0.0130, 0.0666, 0.1552)
V (0.5130, 0.9334, 0.3448)
V (0.9772, 0.6068, 0.3292)
V (0.4870, 0.9334, 0.6552)
V (0.0228, 0.6068, 0.6708)
V (0.9870, 0.0666, 0.8448)
V (0.5228, 0.3932, 0.8292)
O (0.1538, 0.8658, 0.0836)
O (0.2006, 0.3488, 0.0972)
O (0.7088, 0.1333, 0.1007)
O (0.8648, 0.3899, 0.2493)
O (0.3701, 0.1217, 0.2426)
O (0.8701, 0.8783, 0.2574)
O (0.3648, 0.6101, 0.2507)
O (0.2088, 0.8667, 0.3993)
O (0.7006, 0.6512, 0.4028)
O (0.6538, 0.1342, 0.4164)
O (0.3462, 0.1342, 0.5836)
O (0.7912, 0.8667, 0.6007)
O (0.2994, 0.6512, 0.5972)
O (0.1299, 0.8783, 0.7426)
O (0.6352, 0.6101, 0.7493)
O (0.6299, 0.1217, 0.7574)
O (0.1352, 0.3899, 0.7507)
O (0.2912, 0.1333, 0.8993)
O (0.7994, 0.3488, 0.9028)
O (0.8462, 0.8658, 0.9164)
F (0.6624, 0.5983, 0.0854)
F (0.1624, 0.4017, 0.4146)
F (0.8376, 0.4017, 0.5854)
F (0.3376, 0.5983, 0.9146)

- N(E_F): 0.00 states/eV/cell
- Energy: -10.60 eV per atom

---

Record 3
Li2VOF3: PBEsol geometry, SCAN.

Unit cell a=4.9776 b=5.8081 c=9.6004 alpha=84.67 beta=89.94 gamma=89.36
Each line ends with the local moment (μB).
Element x y z (fractional)
Li (0.0099, 0.6265, 0.7740)  0.00
Li (0.0097, 0.1264, 0.2740)  0.00
Li (0.4685, 0.8990, 0.5220)  0.00
Li (0.4687, 0.3993, 0.0219)  0.00
Li (0.4902, 0.8209, 0.8834)  0.00
Li (0.4900, 0.3207, 0.3834)  0.00
Li (0.0033, 0.0680, 0.6320)  0.00
Li (0.0035, 0.5682, 0.1322)  0.00
V (0.0248, 0.4982, 0.4901)  1.95
V (0.4666, 0.2492, 0.7394)  1.90
V (0.0250, 0.9983, 0.9901)  1.94
V (0.4667, 0.7492, 0.2395)  1.90
O (0.2023, 0.0760, 0.8274)  -0.10
O (0.2022, 0.5759, 0.3274)  -0.10
O (0.2955, 0.2888, 0.5658)  -0.02
O (0.2957, 0.7889, 0.0658)  -0.02
F (0.3552, 0.5319, 0.8299)  0.02
F (0.3550, 0.0319, 0.3299)  0.02
F (0.1384, 0.7714, 0.5896)  0.01
F (0.1385, 0.2715, 0.0895)  0.01
F (0.8413, 0.7146, 0.9335)  0.01
F (0.8411, 0.2145, 0.4335)  0.01
F (0.6536, 0.9613, 0.6853)  0.01
F (0.6536, 0.4613, 0.1853)  0.01
F (0.6830, 0.1847, 0.9275)  0.01
F (0.6828, 0.6847, 0.4276)  0.01
F (0.8092, 0.4214, 0.6750)  0.00
F (0.8093, 0.9212, 0.1750)  0.00

- Relative energy among the computed polymorphs: 0.013 eV/atom

---

Record 4
LiV5O7F: PBEsol geometry, SCAN.

Unit cell a=6.0058 b=6.0058 c=9.9492 alpha=87.27 beta=108.75 gamma=123.13
Each line ends with the local moment (μB).
Element x y z (fractional)
F (0.3735, 0.6992, 0.0727)  0.03
F (0.3682, 0.1915, 0.5597)  0.02
Li (0.6231, 0.5623, 0.1854)  0.00
Li (0.6454, 0.0474, 0.6929)  0.00
O (0.8848, 0.4396, 0.3243)  -0.03
O (0.8930, 0.9178, 0.8108)  -0.03
O (0.3821, 0.4681, 0.3089)  -0.05
O (0.3832, 0.9622, 0.8025)  -0.05
O (0.8408, 0.9268, 0.3089)  -0.05
O (0.8403, 0.4193, 0.8025)  -0.05
O (0.3806, 0.9256, 0.3062)  -0.02
O (0.3789, 0.4488, 0.8276)  -0.01
O (0.8601, 0.1893, 0.0494)  -0.01
O (0.8660, 0.7083, 0.5743)  -0.01
O (0.8807, 0.6556, 0.0624)  -0.01
O (0.8850, 0.1693, 0.5671)  -0.02
O (0.4068, 0.1817, 0.0624)  -0.01
O (0.3978, 0.6821, 0.5671)  -0.02
V (0.2108, 0.1083, 0.3191)  2.10
V (0.2209, 0.6273, 0.8482)  1.75
V (0.6186, 0.8180, 0.4367)  1.86
V (0.6761, 0.1115, 0.1961)  0.26
V (0.6095, 0.5467, 0.7024)  1.59
V (0.0846, 0.5200, 0.1961)  0.26
V (0.1557, 0.0928, 0.7024)  1.59
V (0.0157, 0.0008, 0.0165)  1.85
V (0.0116, 0.5191, 0.5307)  1.88
V (0.6057, 0.3112, 0.9169)  -1.64

- Relative energy among the computed polymorphs: 0.065 eV/atom
- N(E_F): 8.43 states/eV/cell

---

Record 5
Li5VO4F: PBEsol geometry, SCAN.

Unit cell a=3.8696 b=5.0692 c=5.7206 alpha=106.91 beta=90.00 gamma=112.44
Each line ends with the local moment (μB).
Element x y z (fractional)
F (0.8418, 0.6836, 0.6478)  0.00
Li (0.3298, 0.6597, 0.1096)  0.00
Li (0.3028, 0.6056, 0.6567)  0.00
Li (0.7104, 0.4207, 0.3026)  0.00
Li (0.6834, 0.3669, 0.8538)  0.00
Li (0.0110, 0.0220, 0.4789)  0.00
O (0.8648, 0.7297, 0.1483)  -0.01
O (0.5132, 0.0264, 0.9935)  -0.03
O (0.1727, 0.3454, 0.3108)  0.01
O (0.1459, 0.2919, 0.8056)  -0.01
V (0.0255, 0.0509, 0.0189)  0.99

- Relative energy among the computed polymorphs: 0.005 eV/atom
- N(E_F): 1.85 states/eV/cell

---

Record 6
LiV6O7F5: PBEsol geometry, SCAN.

Unit cell a=5.5006 b=5.6004 c=7.3191 alpha=69.97 beta=70.97 gamma=72.65
Each line ends with the local moment (μB).
Element x y z (fractional)
Li (0.9880, 0.4861, 0.5221)  0.00
V (0.6455, 0.6840, 0.8501)  1.90
V (0.4002, 0.3182, 0.6985)  1.88
V (0.6321, 0.6745, 0.3247)  1.97
V (0.9988, 0.0226, 0.4863)  2.06
V (0.2892, 0.3177, 0.1617)  1.87
V (0.0139, 0.9694, 0.9951)  2.07
O (0.2333, 0.2108, 0.9670)  -0.08
O (0.6064, 0.5590, 0.6338)  -0.06
O (0.6519, 0.0235, 0.6709)  -0.10
O (0.3566, 0.9673, 0.3363)  -0.10
O (0.9356, 0.3725, 0.3242)  -0.03
O (0.7533, 0.7731, 0.0373)  -0.08
O (0.2967, 0.6781, 0.9980)  -0.09
F (0.0577, 0.6414, 0.6762)  0.01
F (0.0961, 0.1329, 0.6875)  0.02
F (0.9085, 0.8719, 0.3053)  0.02
F (0.3837, 0.4396, 0.3813)  0.03
F (0.6924, 0.2905, 0.0165)  0.02

- N(E_F): 3.32 states/eV/cell
- Energy: -11.69 eV per atom

---

Record 7
Li4V8O13F3: PBEsol geometry, SCAN.

Unit cell a=5.7732 b=5.7734 c=10.0915 alpha=91.54 beta=104.99 gamma=120.04
Each line ends with the local moment (μB).
Element x y z (fractional)
Li (0.1144, 0.3356, 0.9534)  0.00
Li (0.8901, 0.1751, 0.5686)  0.00
Li (0.1076, 0.8310, 0.4418)  0.00
Li (0.8781, 0.6696, 0.0509)  0.00
V (0.4743, 0.2087, 0.7654)  -0.28
V (0.5117, 0.4932, 0.5081)  1.93
V (0.0535, 0.7878, 0.7655)  -0.29
V (0.4616, 0.0058, 0.9707)  0.39
V (0.4987, 0.2461, 0.2479)  1.50
V (0.5118, 0.7327, 0.7478)  1.56
V (0.9764, 0.2397, 0.2487)  1.84
V (0.5059, 0.7692, 0.2487)  1.84
O (0.2354, 0.1398, 0.8787)  0.00
O (0.7216, 0.1037, 0.8700)  0.01
O (0.7430, 0.6057, 0.8522)  -0.01
O (0.2480, 0.1548, 0.3630)  -0.01
O (0.2630, 0.6451, 0.8700)  0.01
O (0.7051, 0.6118, 0.3629)  -0.01
O (0.2684, 0.8666, 0.6382)  0.02
O (0.7355, 0.1289, 0.3676)  -0.02
O (0.2889, 0.3706, 0.6338)  -0.01
O (0.7298, 0.3396, 0.1239)  -0.01
O (0.7601, 0.8417, 0.6338)  -0.01
O (0.2593, 0.3906, 0.1529)  -0.01
O (0.2811, 0.8910, 0.1240)  -0.01
F (0.7532, 0.3762, 0.6327)  0.01
F (0.2544, 0.6212, 0.3788)  0.02
F (0.7339, 0.8777, 0.1145)  0.03

- N(E_F): 5.20 states/eV/cell
- Energy: -11.26 eV per atom

---

Record 8
LiV2OF5: PBEsol geometry, SCAN.

Unit cell a=5.0541 b=5.0541 c=13.6695 alpha=90.00 beta=90.00 gamma=120.00
Each line ends with the local moment (μB).
Element x y z (fractional)
Li (0.6619, 0.9924, 0.1302)  0.00
Li (0.0076, 0.6696, 0.7969)  0.00
Li (0.3304, 0.3381, 0.4635)  0.00
V (0.6929, 0.0287, 0.8252)  1.98
V (0.0313, 0.6922, 0.0032)  1.96
V (0.6609, 0.9687, 0.3366)  1.96
V (0.3078, 0.3391, 0.6699)  1.96
V (0.9713, 0.6642, 0.4919)  1.98
V (0.3358, 0.3071, 0.1586)  1.98
O (0.0008, 0.2753, 0.7475)  -0.22
O (0.7247, 0.7255, 0.4141)  -0.22
O (0.2745, 0.9992, 0.0808)  -0.22
F (0.7384, 0.3617, 0.9101)  0.02
F (0.6232, 0.2616, 0.2434)  0.02
F (0.9725, 0.3360, 0.4111)  0.02
F (0.3635, 0.0275, 0.7445)  0.02
F (0.3351, 0.9768, 0.4150)  0.02
F (0.3352, 0.7243, 0.9052)  0.01
F (0.9807, 0.0339, 0.2405)  0.02
F (0.2757, 0.6109, 0.5718)  0.01
F (0.9661, 0.9468, 0.9071)  0.02
F (0.3891, 0.6648, 0.2385)  0.01
F (0.0232, 0.3583, 0.0817)  0.02
F (0.6417, 0.6649, 0.7483)  0.02
F (0.6640, 0.6365, 0.0778)  0.02
F (0.6383, 0.3768, 0.5768)  0.02
F (0.0532, 0.0193, 0.5738)  0.02

- Relative energy among the computed polymorphs: 0.034 eV/atom